! PBE-GGA Er8Fe2Bi, relaxed; values from VASP
! Formation enthalpy at 0 K ... -0.099 eV/atom
! Crystal system ... monoclinic
! Total DFT energy (no corrections) ... -0.3902 Ry per atom
! Density ... 9.2 g/cm³
&SYSTEM
  ibrav = 0, nat = 11, ntyp = 3
/
ATOMIC_SPECIES
Bi 208.98 Bi.upf
Fe 55.84 Fe.upf
Er 167.26 Er.upf
CELL_PARAMETERS angstrom
6.2519 0.2204 0.1396
-0.1442 5.8191 -2.7300
0.7836 0.2659 8.0961
ATOMIC_POSITIONS crystal
Bi 0.0000 0.0000 0.0000
Fe 0.2973 0.7223 0.4446
Fe 0.7027 0.2777 0.5554
Er 0.6133 0.8892 0.2756
Er 0.3867 0.6136 0.7244
Er 0.8858 0.7956 0.5913
Er 0.1142 0.2044 0.4087
Er 0.6133 0.3864 0.2756
Er 0.3867 0.1108 0.7244
Er 0.1652 0.5738 0.1476
Er 0.8348 0.4262 0.8524



! PBE-GGA Rb2SnPb2, relaxed; values from VASP
! Formation enthalpy at 0 K ... -0.149 eV/atom
! Crystal system ... monoclinic
! Relative energy among the computed polymorphs ... 0 kJ/mol of formula units
! Total DFT energy (no corrections) ... -0.2072 Ry per atom
! Density ... 5.7 g/cm³
&SYSTEM
  ibrav = 0, nat = 10, ntyp = 3
/
ATOMIC_SPECIES
Rb 85.47 Rb.upf
Sn 118.71 Sn.upf
Pb 207.20 Pb.upf
CELL_PARAMETERS angstrom
5.6132 0.0000 0.0000
2.8066 6.5736 -0.2719
2.8066 0.5243 11.1233
ATOMIC_POSITIONS crystal
Rb 0.3074 0.2710 0.1142
Rb 0.4909 0.3404 0.6779
Rb 0.6926 0.7290 0.8858
Rb 0.5091 0.6596 0.3221
Sn 0.7921 0.0714 0.3443
Sn 0.2079 0.9286 0.6557
Pb 0.9811 0.1457 0.8921
Pb 0.1532 0.2440 0.4495
Pb 0.0189 0.8543 0.1079
Pb 0.8468 0.7560 0.5505



! PBE-GGA TmH3Rh, relaxed; values from VASP
! Crystal system ... monoclinic
! Total DFT energy (no corrections) ... -0.3634 Ry per atom
! Density ... 9.1 g/cm³
&SYSTEM
  ibrav = 0, nat = 10, ntyp = 3
/
ATOMIC_SPECIES
Tm 168.93 Tm.upf
H 1.01 H.upf
Rh 102.91 Rh.upf
CELL_PARAMETERS angstrom
3.7622 0.0000 0.0000
0.0000 5.9518 0.0341
0.0000 -1.3046 4.4493
ATOMIC_POSITIONS crystal
Tm 0.2500 0.2923 0.1692
Tm 0.7500 0.7077 0.8308
H 0.7500 0.8040 0.3525
H 0.2500 0.1960 0.6475
H 0.7500 0.0959 0.9611
H 0.2500 0.6231 0.5661
H 0.2500 0.9041 0.0389
H 0.7500 0.3769 0.4339
Rh 0.2500 0.8055 0.3459
Rh 0.7500 0.1945 0.6541



! PBE-GGA Ca2SeCl, relaxed; values from VASP
! Crystal system ... monoclinic
! Relative energy among the computed polymorphs ... 74 kJ/mol of formula units
! Total DFT energy (no corrections) ... -0.2868 Ry per atom
! Density ... 3.1 g/cm³
&SYSTEM
  ibrav = 0, nat = 4, ntyp = 3
/
ATOMIC_SPECIES
Ca 40.08 Ca.upf
Se 78.96 Se.upf
Cl 35.45 Cl.upf
CELL_PARAMETERS angstrom
3.8438 0.0000 0.0000
0.0000 3.7490 -0.0198
0.0000 0.1130 7.3075
ATOMIC_POSITIONS crystal
Ca 0.0000 0.2444 0.9788
Ca 0.0000 0.2556 0.5212
Se 0.5000 0.7500 0.7500
Cl 0.5000 0.2500 0.2500



! PBE-GGA Tb7Sm16Ho6, relaxed; values from VASP
! Formation enthalpy at 0 K ... 0.224 eV/atom
! Crystal system ... cubic
! Total DFT energy (no corrections) ... -0.3267 Ry per atom
! Density ... 7.5 g/cm³
&SYSTEM
  ibrav = 0, nat = 29, ntyp = 3
/
ATOMIC_SPECIES
Tb 158.93 Tb.upf
Sm 150.36 Sm.upf
Ho 164.93 Ho.upf
CELL_PARAMETERS angstrom
9.7281 0.0000 5.6165
3.2427 9.1718 5.6165
0.0000 0.0000 11.2331
ATOMIC_POSITIONS crystal
Tb 0.0000 0.0000 0.0000
Tb 0.5000 0.0000 0.5000
Tb 0.0000 0.5000 0.0000
Tb 0.0000 0.5000 0.5000
Tb 0.5000 0.0000 0.0000
Tb 0.0000 0.0000 0.5000
Tb 0.5000 0.5000 0.0000
Sm 0.8752 0.8752 0.3745
Sm 0.8752 0.8752 0.8752
Sm 0.8752 0.3745 0.8752
Sm 0.3745 0.8752 0.8752
Sm 0.1248 0.1248 0.1248
Sm 0.1248 0.1248 0.6255
Sm 0.1248 0.6255 0.1248
Sm 0.6255 0.1248 0.1248
Sm 0.6500 0.6500 0.0501
Sm 0.6500 0.6500 0.6500
Sm 0.6500 0.0501 0.6500
Sm 0.0501 0.6500 0.6500
Sm 0.3500 0.3500 0.3500
Sm 0.3500 0.3500 0.9499
Sm 0.3500 0.9499 0.3500
Sm 0.9499 0.3500 0.3500
Ho 0.2671 0.7329 0.2671
Ho 0.7329 0.2671 0.7329
Ho 0.7329 0.2671 0.2671
Ho 0.2671 0.7329 0.7329
Ho 0.7329 0.7329 0.2671
Ho 0.2671 0.2671 0.7329



! PBE-GGA Ti2InRePd, relaxed; values from VASP
! Formation enthalpy at 0 K ... 1.741 eV/atom
! Crystal system ... tetragonal
! Total DFT energy (no corrections) ... -0.4037 Ry per atom
! Density ... 7.5 g/cm³
&SYSTEM
  ibrav = 0, nat = 5, ntyp = 4
/
ATOMIC_SPECIES
Re 186.21 Re.upf
Ti 47.87 Ti.upf
Pd 106.42 Pd.upf
In 114.82 In.upf
CELL_PARAMETERS angstrom
4.8834 0.0000 0.0000
0.0000 4.6455 0.0000
0.0000 0.0000 4.8834
ATOMIC_POSITIONS crystal
Re 0.5000 0.5000 0.5000
Ti 0.0000 0.0000 0.5000
Ti 0.5000 0.0000 0.0000
Pd 0.0000 0.5000 0.0000
In 0.0000 0.0000 0.0000